Record 1
# TbPrH2Cl4

A relaxed TbPrH2Cl4 crystal (GGA-PBE, OQMD via LeMat-Bulk).

```
TbPrH2Cl4
1.0
-2.705 0.242 -2.748
-0.829 -1.669 3.385
-3.879 11.776 4.855
Cl H Tb Pr
4 2 1 1
Cartesian
-3.895 6.377 4.395
-2.610 1.215 -0.040
-2.893 3.336 3.141
-5.429 9.772 3.488
-4.019 5.493 1.724
-1.454 -1.032 1.340
-1.940 5.888 2.428
0.000 0.000 0.000
```

Summary:
space group = P-6m2
crystal system = hexagonal
electronic total energy = -4.701 eV/atom
size of the total moment = 0.000 μB per formula unit


Record 2
# HPtCl

A relaxed HPtCl crystal (GGA-PBE, OQMD via LeMat-Bulk).

```
HPtCl
1.0
-1.988 2.046 2.407
-2.076 -2.895 0.746
5.692 -2.950 4.395
H Pt Cl
2 2 2
Cartesian
-1.157 -1.895 2.747
-0.118 -0.447 2.374
-0.771 1.108 2.156
-0.620 -0.824 3.955
2.739 -2.690 6.062
3.122 -1.583 2.544
```

Summary:
space group = Pm
crystal system = monoclinic
electronic total energy = -3.937 eV/atom
size of the total moment = 0.001 μB per formula unit


Record 3
# TmScH2Cl4

A relaxed TmScH2Cl4 crystal (GGA-PBE, OQMD via LeMat-Bulk).

```
TmScH2Cl4
1.0
-2.644 1.673 1.736
1.350 -3.046 1.305
8.969 6.957 6.960
Cl H Sc Tm
4 2 1 1
Cartesian
1.207 -0.552 2.370
7.800 4.563 7.486
2.049 2.707 4.200
4.295 4.450 5.943
4.503 2.006 4.928
-1.313 0.100 1.592
4.485 3.479 3.480
0.000 0.000 0.000
```

Summary:
space group = P-6m2
crystal system = hexagonal
electronic total energy = -4.772 eV/atom
size of the total moment = 0.002 μB per formula unit